(1)
AlGeI | PBE-GGA | optimized geometry

Geometry as CIF:
```
data_AlGeI
_chemical_formula_sum 'Al2 Ge2 I2'
_cell_length_a 3.817
_cell_length_b 7.397
_cell_length_c 8.012
_cell_angle_alpha 118.71
_cell_angle_beta 103.78
_cell_angle_gamma 90.00
_symmetry_space_group_name_H-M 'P 1'
_symmetry_Int_Tables_number 1
_symmetry_space_group_name_Hall 'P 1'
loop_
_atom_site_label
_atom_site_fract_x
_atom_site_fract_y
_atom_site_fract_z
_atom_site_occupancy
Al1 0.758 0.760 0.516 1
Al2 0.242 0.240 0.484 1
Ge1 0.171 0.471 0.342 1
Ge2 0.829 0.529 0.658 1
I1 0.622 0.911 0.243 1
I2 0.378 0.089 0.757 1
```

Computed properties:
formation energy (no corrections) = 0.05 eV per atom
SG = C2/m (12)



(2)
NiTeI3 | PBE-GGA | optimized geometry

Geometry as CIF:
```
data_NiTeI3
_chemical_formula_sum 'Ni1 Te1 I3'
_cell_length_a 5.260
_cell_length_b 5.260
_cell_length_c 5.260
_cell_angle_alpha 90.00
_cell_angle_beta 90.00
_cell_angle_gamma 90.00
_symmetry_space_group_name_H-M 'P 1'
_symmetry_Int_Tables_number 1
_symmetry_space_group_name_Hall 'P 1'
loop_
_atom_site_label
_atom_site_fract_x
_atom_site_fract_y
_atom_site_fract_z
_atom_site_occupancy
I1 0.000 0.500 0.000 1
I2 0.000 0.000 0.500 1
I3 0.500 0.000 0.000 1
Ni1 0.000 0.000 0.000 1
Te1 0.500 0.500 0.500 1
```

Computed properties:
formation energy (no corrections) = 0.27 eV per atom
SG = Pm-3m (221)



(3)
CaNdTh2 | PBE-GGA | optimized geometry

Geometry as CIF:
```
data_CaNdTh2
_chemical_formula_sum 'Ca1 Nd1 Th2'
_cell_length_a 5.357
_cell_length_b 5.036
_cell_length_c 5.036
_cell_angle_alpha 90.00
_cell_angle_beta 90.00
_cell_angle_gamma 90.00
_symmetry_space_group_name_H-M 'P 1'
_symmetry_Int_Tables_number 1
_symmetry_space_group_name_Hall 'P 1'
loop_
_atom_site_label
_atom_site_fract_x
_atom_site_fract_y
_atom_site_fract_z
_atom_site_occupancy
Ca1 0.500 0.500 0.500 1
Nd1 0.500 0.000 0.000 1
Th1 0.000 0.000 0.500 1
Th2 0.000 0.500 0.000 1
```

Computed properties:
SG = P4/mmm (123)
energy relative to the elements = 0.18 eV per atom



(4)
Ca2CdAs3Pt4 | PBE-GGA | optimized geometry

Geometry as CIF:
```
data_Ca2CdAs3Pt4
_chemical_formula_sum 'Ca2 Cd1 As3 Pt4'
_cell_length_a 4.327
_cell_length_b 4.327
_cell_length_c 10.780
_cell_angle_alpha 90.00
_cell_angle_beta 90.00
_cell_angle_gamma 90.00
_symmetry_space_group_name_H-M 'P 1'
_symmetry_Int_Tables_number 1
_symmetry_space_group_name_Hall 'P 1'
loop_
_atom_site_label
_atom_site_fract_x
_atom_site_fract_y
_atom_site_fract_z
_atom_site_occupancy
Ca1 0.500 0.000 0.239 1
Ca2 0.000 0.500 0.761 1
Cd1 0.500 0.500 0.500 1
As1 0.000 0.000 0.500 1
As2 0.500 0.000 0.873 1
As3 0.000 0.500 0.127 1
Pt1 0.500 0.500 0.000 1
Pt2 0.000 0.000 0.000 1
Pt3 0.500 0.000 0.650 1
Pt4 0.000 0.500 0.350 1
```

Computed properties:
SG = P-4m2 (115)
energy relative to the elements = -0.68 eV per atom



(5)
TlCu2Au2 | PBE-GGA | optimized geometry

Geometry as CIF:
```
data_TlCu2Au2
_chemical_formula_sum 'Tl1 Cu2 Au2'
_cell_length_a 3.773
_cell_length_b 3.773
_cell_length_c 7.179
_cell_angle_alpha 74.77
_cell_angle_beta 74.77
_cell_angle_gamma 90.00
_symmetry_space_group_name_H-M 'P 1'
_symmetry_Int_Tables_number 1
_symmetry_space_group_name_Hall 'P 1'
loop_
_atom_site_label
_atom_site_fract_x
_atom_site_fract_y
_atom_site_fract_z
_atom_site_occupancy
Tl1 0.000 0.000 0.000 1
Au1 0.389 0.389 0.223 1
Au2 0.611 0.611 0.777 1
Cu1 0.750 0.250 0.500 1
Cu2 0.250 0.750 0.500 1
```

Computed properties:
SG = I4/mmm (139)
energy relative to the elements = 0.09 eV per atom



(6)
Cs2MnMo | PBE-GGA | optimized geometry

Geometry as CIF:
```
data_Cs2MnMo
_chemical_formula_sum 'Cs2 Mn1 Mo1'
_cell_length_a 6.530
_cell_length_b 6.530
_cell_length_c 6.530
_cell_angle_alpha 60.00
_cell_angle_beta 60.00
_cell_angle_gamma 60.00
_symmetry_space_group_name_H-M 'P 1'
_symmetry_Int_Tables_number 1
_symmetry_space_group_name_Hall 'P 1'
loop_
_atom_site_label
_atom_site_fract_x
_atom_site_fract_y
_atom_site_fract_z
_atom_site_occupancy
Cs1 0.250 0.250 0.250 1
Cs2 0.750 0.750 0.750 1
Mo1 0.500 0.500 0.500 1
Mn1 0.000 0.000 0.000 1
```

Computed properties:
SG = Fm-3m (225)
energy relative to the elements = 1.81 eV per atom



(7)
LiTc2Se | PBE-GGA | optimized geometry

Geometry as CIF:
```
data_LiTc2Se
_chemical_formula_sum 'Li1 Tc2 Se1'
_cell_length_a 4.518
_cell_length_b 3.634
_cell_length_c 3.634
_cell_angle_alpha 90.00
_cell_angle_beta 90.00
_cell_angle_gamma 90.00
_symmetry_space_group_name_H-M 'P 1'
_symmetry_Int_Tables_number 1
_symmetry_space_group_name_Hall 'P 1'
loop_
_atom_site_label
_atom_site_fract_x
_atom_site_fract_y
_atom_site_fract_z
_atom_site_occupancy
Li1 0.500 0.500 0.000 1
Se1 0.500 0.000 0.500 1
Tc1 0.000 0.000 0.000 1
Tc2 0.000 0.500 0.500 1
```

Computed properties:
formation energy (no corrections) = 0.27 eV per atom
SG = P4/mmm (123)



(8)
La2IN2 | PBE-GGA | optimized geometry

Geometry as CIF:
```
data_La2IN2
_chemical_formula_sum 'La4 I2 N4'
_cell_length_a 4.243
_cell_length_b 6.905
_cell_length_c 8.152
_cell_angle_alpha 99.74
_cell_angle_beta 105.08
_cell_angle_gamma 90.00
_symmetry_space_group_name_H-M 'P 1'
_symmetry_Int_Tables_number 1
_symmetry_space_group_name_Hall 'P 1'
loop_
_atom_site_label
_atom_site_fract_x
_atom_site_fract_y
_atom_site_fract_z
_atom_site_occupancy
La1 0.856 0.146 0.329 1
La2 0.473 0.646 0.329 1
La3 0.144 0.854 0.671 1
La4 0.527 0.354 0.671 1
I1 0.784 0.750 0.000 1
I2 0.216 0.250 0.000 1
N1 0.917 0.470 0.555 1
N2 0.362 0.030 0.445 1
N3 0.083 0.530 0.445 1
N4 0.638 0.970 0.555 1
```

Computed properties:
formation energy (no corrections) = -1.15 eV per atom
SG = C2/c (15)



(9)
NpGe4RuRh2 | PBE-GGA | optimized geometry

Geometry as CIF:
```
data_NpGe4RuRh2
_chemical_formula_sum 'Np1 Ge4 Ru1 Rh2'
_cell_length_a 4.198
_cell_length_b 4.198
_cell_length_c 9.097
_cell_angle_alpha 76.66
_cell_angle_beta 76.66
_cell_angle_gamma 60.00
_symmetry_space_group_name_H-M 'P 1'
_symmetry_Int_Tables_number 1
_symmetry_space_group_name_Hall 'P 1'
loop_
_atom_site_label
_atom_site_fract_x
_atom_site_fract_y
_atom_site_fract_z
_atom_site_occupancy
Np1 0.000 0.000 0.000 1
Ge1 0.396 0.396 0.813 1
Ge2 0.870 0.870 0.389 1
Ge3 0.130 0.130 0.611 1
Ge4 0.604 0.604 0.187 1
Ru1 0.500 0.500 0.500 1
Rh1 0.767 0.767 0.699 1
Rh2 0.233 0.233 0.301 1
```

Computed properties:
SG = R-3m (166)
energy relative to the elements = -0.35 eV per atom



(10)
IrRu2Rh | PBE-GGA | optimized geometry

Geometry as CIF:
```
data_IrRu2Rh
_chemical_formula_sum 'Ir1 Ru2 Rh1'
_cell_length_a 3.832
_cell_length_b 3.831
_cell_length_c 3.853
_cell_angle_alpha 90.00
_cell_angle_beta 90.00
_cell_angle_gamma 90.00
_symmetry_space_group_name_H-M 'P 1'
_symmetry_Int_Tables_number 1
_symmetry_space_group_name_Hall 'P 1'
loop_
_atom_site_label
_atom_site_fract_x
_atom_site_fract_y
_atom_site_fract_z
_atom_site_occupancy
Ru1 0.000 0.000 0.000 1
Ru2 0.500 0.500 0.000 1
Ir1 0.500 0.000 0.500 1
Rh1 0.000 0.500 0.500 1
```

Computed properties:
SG = P4/mmm (123)
energy relative to the elements = 0.03 eV per atom



(11)
V3Cu | PBE-GGA | optimized geometry

Geometry as CIF:
```
data_V3Cu
_chemical_formula_sum 'V3 Cu1'
_cell_length_a 4.662
_cell_length_b 4.662
_cell_length_c 4.662
_cell_angle_alpha 133.25
_cell_angle_beta 133.25
_cell_angle_gamma 68.27
_symmetry_space_group_name_H-M 'P 1'
_symmetry_Int_Tables_number 1
_symmetry_space_group_name_Hall 'P 1'
loop_
_atom_site_label
_atom_site_fract_x
_atom_site_fract_y
_atom_site_fract_z
_atom_site_occupancy
Cu1 0.000 0.000 0.000 1
V1 0.750 0.250 0.500 1
V2 0.250 0.750 0.500 1
V3 0.500 0.500 0.000 1
```

Computed properties:
SG = I4/mmm (139)
energy relative to the elements = 0.15 eV per atom



(12)
La5Nd2Sm | PBE-GGA | optimized geometry

Geometry as CIF:
```
data_La5Nd2Sm
_chemical_formula_sum 'La10 Nd4 Sm2'
_cell_length_a 3.662
_cell_length_b 9.051
_cell_length_c 17.363
_cell_angle_alpha 90.00
_cell_angle_beta 90.00
_cell_angle_gamma 90.00
_symmetry_space_group_name_H-M 'P 1'
_symmetry_Int_Tables_number 1
_symmetry_space_group_name_Hall 'P 1'
loop_
_atom_site_label
_atom_site_fract_x
_atom_site_fract_y
_atom_site_fract_z
_atom_site_occupancy
La1 0.500 0.161 0.294 1
La2 0.000 0.484 0.000 1
La3 0.000 0.839 0.206 1
La4 0.500 0.516 0.500 1
La5 0.000 0.839 0.794 1
La6 0.500 0.161 0.706 1
La7 0.500 0.517 0.165 1
La8 0.500 0.517 0.835 1
La9 0.000 0.483 0.335 1
La10 0.000 0.483 0.665 1
Nd1 0.500 0.837 0.394 1
Nd2 0.000 0.163 0.106 1
Nd3 0.500 0.837 0.606 1
Nd4 0.000 0.163 0.894 1
Sm1 0.000 0.153 0.500 1
Sm2 0.500 0.847 0.000 1
```

Computed properties:
SG = Pmmn (59)
energy relative to the elements = 0.11 eV per atom



(13)
Pm2Zn5Cu3 | PBE-GGA | optimized geometry

Geometry as CIF:
```
data_Pm2Zn5Cu3
_chemical_formula_sum 'Pm4 Zn10 Cu6'
_cell_length_a 5.830
_cell_length_b 8.410
_cell_length_c 8.410
_cell_angle_alpha 80.78
_cell_angle_beta 69.72
_cell_angle_gamma 69.72
_symmetry_space_group_name_H-M 'P 1'
_symmetry_Int_Tables_number 1
_symmetry_space_group_name_Hall 'P 1'
loop_
_atom_site_label
_atom_site_fract_x
_atom_site_fract_y
_atom_site_fract_z
_atom_site_occupancy
Pm1 0.128 0.620 0.125 1
Pm2 0.628 0.125 0.620 1
Pm3 0.872 0.380 0.875 1
Pm4 0.372 0.875 0.380 1
Zn1 0.382 0.256 0.981 1
Zn2 0.882 0.981 0.256 1
Zn3 0.618 0.744 0.019 1
Zn4 0.118 0.019 0.744 1
Zn5 0.499 0.751 0.751 1
Zn6 0.501 0.249 0.249 1
Zn7 0.750 0.500 0.500 1
Zn8 0.250 0.500 0.500 1
Zn9 0.001 0.249 0.249 1
Zn10 0.999 0.751 0.751 1
Cu1 0.375 0.488 0.762 1
Cu2 0.875 0.762 0.488 1
Cu3 0.625 0.512 0.238 1
Cu4 0.125 0.238 0.512 1
Cu5 0.250 0.000 0.000 1
Cu6 0.750 0.000 0.000 1
```

Computed properties:
SG = Ibam (72)
energy relative to the elements = -0.25 eV per atom



(14)
Cd12NiAg6 | PBE-GGA | optimized geometry

Geometry as CIF:
```
data_Cd12NiAg6
_chemical_formula_sum 'Cd12 Ni1 Ag6'
_cell_length_a 7.260
_cell_length_b 7.260
_cell_length_c 7.260
_cell_angle_alpha 90.02
_cell_angle_beta 90.02
_cell_angle_gamma 90.02
_symmetry_space_group_name_H-M 'P 1'
_symmetry_Int_Tables_number 1
_symmetry_space_group_name_Hall 'P 1'
loop_
_atom_site_label
_atom_site_fract_x
_atom_site_fract_y
_atom_site_fract_z
_atom_site_occupancy
Cd1 0.470 0.199 0.559 1
Cd2 0.199 0.559 0.470 1
Cd3 0.559 0.470 0.199 1
Cd4 0.530 0.801 0.441 1
Cd5 0.801 0.441 0.530 1
Cd6 0.441 0.530 0.801 1
Cd7 0.854 0.969 0.638 1
Cd8 0.362 0.146 0.031 1
Cd9 0.031 0.362 0.146 1
Cd10 0.146 0.031 0.362 1
Cd11 0.638 0.854 0.969 1
Cd12 0.969 0.638 0.854 1
Ni1 0.000 0.000 0.000 1
Ag1 0.111 0.268 0.735 1
Ag2 0.732 0.265 0.889 1
Ag3 0.265 0.889 0.732 1
Ag4 0.889 0.732 0.265 1
Ag5 0.268 0.735 0.111 1
Ag6 0.735 0.111 0.268 1
```

Computed properties:
SG = R-3 (148)
energy relative to the elements = -0.03 eV per atom



(15)
PRhC | PBE-GGA | optimized geometry

Geometry as CIF:
```
data_PRhC
_chemical_formula_sum 'P1 Rh1 C1'
_cell_length_a 3.748
_cell_length_b 2.851
_cell_length_c 4.230
_cell_angle_alpha 90.00
_cell_angle_beta 115.77
_cell_angle_gamma 90.00
_symmetry_space_group_name_H-M 'P 1'
_symmetry_Int_Tables_number 1
_symmetry_space_group_name_Hall 'P 1'
loop_
_atom_site_label
_atom_site_fract_x
_atom_site_fract_y
_atom_site_fract_z
_atom_site_occupancy
P1 0.616 0.500 0.351 1
C1 0.472 0.000 0.070 1
Rh1 0.215 0.000 0.553 1
```

Computed properties:
SG = Pm (6)
energy relative to the elements = 0.36 eV per atom



(16)
La8SnGe3Br4 | PBE-GGA | optimized geometry

Geometry as CIF:
```
data_La8SnGe3Br4
_chemical_formula_sum 'La8 Sn1 Ge3 Br4'
_cell_length_a 8.989
_cell_length_b 8.867
_cell_length_c 8.989
_cell_angle_alpha 120.46
_cell_angle_beta 120.00
_cell_angle_gamma 90.00
_symmetry_space_group_name_H-M 'P 1'
_symmetry_Int_Tables_number 1
_symmetry_space_group_name_Hall 'P 1'
loop_
_atom_site_label
_atom_site_fract_x
_atom_site_fract_y
_atom_site_fract_z
_atom_site_occupancy
La1 0.249 0.728 0.980 1
La2 0.249 0.728 0.497 1
La3 0.260 0.279 0.519 1
La4 0.731 0.728 0.980 1
La5 0.269 0.272 0.020 1
La6 0.740 0.721 0.481 1
La7 0.751 0.272 0.503 1
La8 0.751 0.272 0.020 1
Sn1 0.000 0.500 0.000 1
Ge1 0.500 0.500 0.000 1
Ge2 0.500 0.500 0.500 1
Ge3 0.000 0.500 0.500 1
Br1 0.500 0.000 0.000 1
Br2 0.500 0.000 0.500 1
Br3 0.000 0.000 0.000 1
Br4 0.000 0.000 0.500 1
```

Computed properties:
formation energy (no corrections) = -1.20 eV per atom
SG = R-3m (166)



(17)
SmDyPb2 | PBE-GGA | optimized geometry

Geometry as CIF:
```
data_SmDyPb2
_chemical_formula_sum 'Sm1 Dy1 Pb2'
_cell_length_a 4.496
_cell_length_b 5.057
_cell_length_c 5.057
_cell_angle_alpha 90.00
_cell_angle_beta 90.00
_cell_angle_gamma 90.00
_symmetry_space_group_name_H-M 'P 1'
_symmetry_Int_Tables_number 1
_symmetry_space_group_name_Hall 'P 1'
loop_
_atom_site_label
_atom_site_fract_x
_atom_site_fract_y
_atom_site_fract_z
_atom_site_occupancy
Pb1 0.000 0.000 0.500 1
Pb2 0.000 0.500 0.000 1
Sm1 0.500 0.000 0.000 1
Dy1 0.500 0.500 0.500 1
```

Computed properties:
SG = P4/mmm (123)
energy relative to the elements = -0.46 eV per atom



(18)
Sc2Be4CuPt3 | PBE-GGA | optimized geometry

Geometry as CIF:
```
data_Sc2Be4CuPt3
_chemical_formula_sum 'Sc2 Be4 Cu1 Pt3'
_cell_length_a 3.837
_cell_length_b 3.837
_cell_length_c 9.523
_cell_angle_alpha 90.00
_cell_angle_beta 90.00
_cell_angle_gamma 90.00
_symmetry_space_group_name_H-M 'P 1'
_symmetry_Int_Tables_number 1
_symmetry_space_group_name_Hall 'P 1'
loop_
_atom_site_label
_atom_site_fract_x
_atom_site_fract_y
_atom_site_fract_z
_atom_site_occupancy
Sc1 0.500 0.000 0.250 1
Sc2 0.000 0.500 0.750 1
Be1 0.500 0.500 0.000 1
Be2 0.000 0.000 0.000 1
Be3 0.500 0.000 0.628 1
Be4 0.000 0.500 0.372 1
Cu1 0.500 0.500 0.500 1
Pt1 0.000 0.000 0.500 1
Pt2 0.500 0.000 0.864 1
Pt3 0.000 0.500 0.136 1
```

Computed properties:
SG = P-4m2 (115)
energy relative to the elements = -0.69 eV per atom



(19)
Ba5Zn4 | PBE-GGA | optimized geometry

Geometry as CIF:
```
data_Ba5Zn4
_chemical_formula_sum 'Ba5 Zn4'
_cell_length_a 5.420
_cell_length_b 6.435
_cell_length_c 11.294
_cell_angle_alpha 75.15
_cell_angle_beta 76.12
_cell_angle_gamma 65.09
_symmetry_space_group_name_H-M 'P 1'
_symmetry_Int_Tables_number 1
_symmetry_space_group_name_Hall 'P 1'
loop_
_atom_site_label
_atom_site_fract_x
_atom_site_fract_y
_atom_site_fract_z
_atom_site_occupancy
Ba1 0.113 0.172 0.602 1
Ba2 0.887 0.828 0.398 1
Ba3 0.749 0.684 0.818 1
Ba4 0.251 0.316 0.182 1
Ba5 0.000 0.000 0.000 1
Zn1 0.438 0.295 0.829 1
Zn2 0.562 0.705 0.171 1
Zn3 0.414 0.563 0.609 1
Zn4 0.586 0.437 0.391 1
```

Computed properties:
SG = C2/m (12)
energy relative to the elements = -0.11 eV per atom



(20)
Ba2SrRh2 | PBE-GGA | optimized geometry

Geometry as CIF:
```
data_Ba2SrRh2
_chemical_formula_sum 'Ba2 Sr1 Rh2'
_cell_length_a 5.511
_cell_length_b 5.511
_cell_length_c 6.791
_cell_angle_alpha 66.06
_cell_angle_beta 66.06
_cell_angle_gamma 90.00
_symmetry_space_group_name_H-M 'P 1'
_symmetry_Int_Tables_number 1
_symmetry_space_group_name_Hall 'P 1'
loop_
_atom_site_label
_atom_site_fract_x
_atom_site_fract_y
_atom_site_fract_z
_atom_site_occupancy
Sr1 0.000 0.000 0.000 1
Rh1 0.750 0.250 0.500 1
Rh2 0.250 0.750 0.500 1
Ba1 0.341 0.341 0.319 1
Ba2 0.659 0.659 0.681 1
```

Computed properties:
SG = I4/mmm (139)
energy relative to the elements = 0.18 eV per atom